Record 1
This record from Alexandria describes a relaxed Na4B5C3 crystal. The functional is PBE.

The structure in POSCAR format:
```
Na4B5C3
1.0
-3.075 3.609 -3.221
-2.614 -4.216 2.872
-0.963 5.165 6.706
Na C B
8 6 10
Direct
0.500 0.500 0.000
0.500 0.500 0.500
0.500 0.000 0.000
0.500 0.000 0.500
0.000 0.500 0.000
0.000 0.500 0.500
0.000 0.000 0.000
0.000 0.000 0.500
0.167 0.334 0.750
0.334 0.167 0.250
0.167 0.833 0.750
0.833 0.167 0.250
0.666 0.833 0.750
0.833 0.666 0.250
0.160 0.320 0.250
0.320 0.160 0.750
0.333 0.667 0.250
0.160 0.840 0.250
0.333 0.667 0.750
0.667 0.333 0.750
0.667 0.333 0.250
0.840 0.160 0.750
0.680 0.840 0.250
0.840 0.680 0.750
```

- SG = No. 194
- calculated formation energy (eV/atom) = 0.106
- crystal system = hexagonal
- electronic total energy (eV per atom) = -5.421


Record 2
This record from Alexandria describes a relaxed Na5B8C2 crystal. The functional is PBE.

The structure in POSCAR format:
```
Na5B8C2
1.0
8.624 0.241 -3.032
8.085 3.010 -3.032
-0.704 -0.137 13.690
Na B C
10 16 4
Direct
0.000 0.000 0.000
0.200 0.200 0.900
0.200 0.200 0.400
0.402 0.402 0.300
0.400 0.400 0.800
0.599 0.599 0.700
0.599 0.599 0.200
0.801 0.801 0.100
0.801 0.801 0.600
0.998 0.998 0.500
0.628 0.628 0.005
0.772 0.772 0.795
0.838 0.838 0.926
0.562 0.562 0.874
0.969 0.969 0.188
0.035 0.035 0.319
0.776 0.776 0.301
0.167 0.167 0.584
0.230 0.230 0.710
0.971 0.971 0.692
0.233 0.233 0.216
0.429 0.429 0.108
0.170 0.170 0.090
0.431 0.431 0.612
0.624 0.624 0.499
0.365 0.365 0.481
0.834 0.834 0.417
0.030 0.030 0.812
0.370 0.370 0.988
0.566 0.566 0.383
```

- SG = No. 12
- calculated formation energy (eV/atom) = 0.185
- crystal system = monoclinic
- electronic total energy (eV per atom) = -5.045


Record 3
This record from Alexandria describes a relaxed Na3B5C crystal. The functional is PBE.

The structure in POSCAR format:
```
Na3B5C
1.0
-2.058 -5.356 5.717
4.088 5.860 -3.815
-5.031 5.972 3.784
Na C B
6 2 10
Direct
0.333 0.667 0.002
0.333 0.667 0.498
0.001 0.999 0.998
0.001 0.999 0.502
0.667 0.333 0.000
0.667 0.333 0.500
0.554 0.446 0.250
0.779 0.221 0.750
0.888 0.112 0.250
0.446 0.554 0.750
0.877 0.123 0.750
0.457 0.543 0.250
0.119 0.881 0.750
0.551 0.449 0.750
0.105 0.895 0.250
0.214 0.786 0.250
0.228 0.772 0.750
0.783 0.217 0.250
```

- SG = No. 63
- calculated formation energy (eV/atom) = 0.192
- crystal system = orthorhombic
- electronic total energy (eV per atom) = -4.982


| no. | energy above the lowest structure with this stoichiometry (meV per atom) |
| --- | --- |
| 1 | 45.8 |
| 2 | 15.1 |
| 3 | 0.8 |